## Pr7Mn8O24 (PBE+U)

Data for crystalline Pr7Mn8O24 at its relaxed geometry.

extended XYZ file:
```
39
Lattice="-3.500 5.026 -7.353 2.439 -8.753 -3.003 -5.605 -3.669 -3.967" Properties=species:S:1:pos:R:3 pbc="T T T"
Pr -1.843 -7.585 -7.399
O -5.677 -3.645 -10.050
O -1.292 -3.727 -4.270
O -4.353 -6.717 -9.080
O -1.020 -5.137 -6.716
O -3.062 -3.314 -6.318
O -2.001 1.879 -5.334
O -6.605 0.718 -8.523
O -1.870 -5.738 -9.259
O -3.217 -2.612 -10.245
Pr -3.142 -2.395 -3.297
O -5.337 -2.114 -7.683
O -4.058 1.644 -8.948
O 0.112 -8.030 -5.893
O -1.698 -6.553 -4.448
Mn 1.817 -6.589 -2.273
O -3.585 -6.178 -6.401
Mn -2.462 -4.933 -5.340
Mn -5.395 1.972 -7.527
Mn -6.725 -3.361 -8.360
Pr -7.606 -2.468 -11.628
Pr -3.592 -4.225 -8.477
Pr -4.831 -0.654 -9.587
O -5.041 -1.646 -4.788
O -3.936 -5.291 -11.386
Mn -2.645 3.765 -5.542
O -5.818 -4.945 -7.719
O -4.660 0.319 -6.618
Mn -5.265 -6.749 -7.290
O -2.410 -9.015 -5.450
O -2.748 -1.127 -7.982
O -6.429 -6.766 -12.654
O 0.967 -5.006 -3.160
Mn -3.928 -1.532 -6.414
O -2.514 -0.892 -5.165
Pr -0.732 -2.327 -6.371
Pr -4.601 -9.441 -9.427
Mn -0.920 -8.412 -4.249
O -3.674 -4.818 -3.787
```

## Properties
Total moment ... 29.0 μB per cell
Final energy ... -304.7 eV for the cell shown